First-principles (PBE) data for a relaxed FeIrSN2 crystal, as listed in Alexandria via LeMat-Bulk.

- Space group: P4/mmm
- Relative energy among the computed polymorphs: 0.000 eV per atom
- V: 75.2 Å³/f.u.

Unit cell a=3.729 b=3.729 c=5.408 alpha=90.00 beta=90.00 gamma=90.00
Atoms (fractional coordinates):
Ir: 0.000 0.000 0.000
S: 0.000 0.000 0.500
N: 0.500 0.000 0.000
N: 0.000 0.500 0.000
Fe: 0.500 0.500 0.500